# 1
## Rb2CaGe2 (PBE-GGA)

Data for crystalline Rb2CaGe2 at its relaxed geometry.

The energy of formation from the pure elements comes out at 0.36 eV/atom. The value obtained for the total energy is -2.273 eV/atom. As for the density of states at the Fermi level: 9.06 states/eV per cell. The value obtained for the total moment is 0.13 μB per atom. Its crystal system is tetragonal.

The space group is P4/mbm (No. 127) and the conventional cell measures 9.924, 9.924 and 3.530 Å, with angles of 90.00, 90.00 and 90.00 degrees. Symmetry generates all atoms from Rb at (0.120, 0.380, 0.000), Ca at (0.000, 0.000, 0.000) and Ge at (0.181, 0.681, 0.500).



# 2
## In3Pd6Pb (PBE-GGA)

Data for crystalline In3Pd6Pb at its relaxed geometry.

The energy of formation from the pure elements comes out at -0.32 eV/atom. The value obtained for the total energy is -4.630 eV/atom. As for the density of states at the Fermi level: 13.45 states/eV per cell. The value obtained for the total moment is 0.00 μB per atom. Its crystal system is orthorhombic.

The space group is Cmc2_1 (No. 36) and the conventional cell measures 9.933, 12.612 and 6.150 Å, with angles of 90.00, 90.00 and 90.00 degrees. Symmetry generates all atoms from In at (0.000, 0.081, 0.000), In at (0.211, 0.430, 0.758), Pd at (0.000, 0.288, 0.721), Pd at (0.000, 0.488, 0.021), Pd at (0.142, 0.095, 0.622), Pd at (0.219, 0.228, 0.981) and Pb at (0.000, 0.301, 0.273).



# 3
## BiRu3C (PBE-GGA)

Data for crystalline BiRu3C at its relaxed geometry.

The energy of formation from the pure elements comes out at 0.38 eV/atom. The value obtained for the total energy is -7.811 eV/atom. As for the density of states at the Fermi level: 4.78 states/eV per cell. The value obtained for the total moment is 0.00 μB per atom. Its crystal system is cubic.

The space group is Pm-3m (No. 221) and the conventional cell measures 4.172, 4.172 and 4.172 Å, with angles of 90.00, 90.00 and 90.00 degrees. Symmetry generates all atoms from Bi at (0.000, 0.000, 0.000), Ru at (0.000, 0.500, 0.500) and C at (0.500, 0.500, 0.500).



# 4
## CsRbTaSe4 (PBE-GGA)

Data for crystalline CsRbTaSe4 at its relaxed geometry.

The value obtained for the total energy is -4.886 eV/atom. As for the density of states at the Fermi level: 3.09 states/eV per cell. As for the uncorrected formation energy: -90.8 kJ/mol of atoms. The value obtained for the total moment is 0.00 μB per atom. Its crystal system is monoclinic.

The space group is P2_1/m (No. 11) and the conventional cell measures 7.942, 6.502 and 11.451 Å, with angles of 90.00, 103.33 and 90.00 degrees. Symmetry generates all atoms from Cs at (0.232, 0.250, 0.465), Rb at (0.273, 0.250, 0.945), Ta at (0.282, 0.750, 0.206), Se at (0.070, 0.750, 0.325), Se at (0.156, 0.750, 0.997) and Se at (0.498, 0.023, 0.261).